Compound: Re2HgAs
Source: the Alexandria database
Functional: PBE
Structure: relaxed

Geometry as POSCAR:
```
Re2HgAs
1.0
-3.162 -2.902 1.368
-2.334 0.821 3.764
-4.353 1.130 -0.251
Hg Re As
1 2 1
Cartesian
-4.925 -0.475 2.440
-2.463 -0.238 1.220
-7.388 -0.713 3.661
0.000 0.000 0.000
```

Values from the calculation:
ΔE to the lowest computed polymorph = 657 meV per atom
Energy of formation = 934 meV/atom
Space-group type = No. 225
Energy = -6.53 eV per atom
Total moment = 0.00 μB/f.u.